Density functional theory data (PBE-GGA) for an optimized crystal structure of SrInIrBr2.

E_form (uncorrected) = -0.268 eV per atom
mass density = 6.282 g/cm3
electronic total energy = -18.0 eV/f.u.

abc: 5.336 5.148 5.336
angles: 90.00 90.00 90.00
Sites, in units of the cell vectors:
Sr 0.500 0.500 0.500
Ir 0.000 0.000 0.000
Br 0.000 0.000 0.500
Br 0.500 0.000 0.000
In 0.000 0.500 0.000